## w
The following is a GGA-PBE calculation of Na2Sb4O11 after structural relaxation, from Alexandria.

abc: 12.573 12.573 12.573
angles: 29.12 29.12 29.12
Fractional positions:
Na  0.168  0.168  0.168
Na  0.332  0.332  0.332
Na  0.668  0.668  0.668
Na  0.832  0.832  0.832
Sb  0.000  0.000  0.000
Sb  0.109  0.750  0.391
Sb  0.250  0.609  0.891
Sb  0.391  0.109  0.750
Sb  0.500  0.500  0.500
Sb  0.609  0.891  0.250
Sb  0.750  0.391  0.109
Sb  0.891  0.250  0.609
O  0.008  0.492  0.750
O  0.050  0.743  0.293
O  0.094  0.094  0.094
O  0.207  0.757  0.450
O  0.243  0.550  0.793
O  0.250  0.992  0.508
O  0.257  0.707  0.950
O  0.293  0.050  0.743
O  0.406  0.406  0.406
O  0.450  0.207  0.757
O  0.492  0.750  0.008
O  0.508  0.250  0.992
O  0.550  0.793  0.243
O  0.594  0.594  0.594
O  0.707  0.950  0.257
O  0.743  0.293  0.050
O  0.750  0.008  0.492
O  0.757  0.450  0.207
O  0.793  0.243  0.550
O  0.906  0.906  0.906
O  0.950  0.257  0.707
O  0.992  0.508  0.250


## x
The following is a GGA-PBE calculation of Na2Sb4O11 after structural relaxation, from Alexandria.

abc: 10.753 10.753 7.283
angles: 96.02 96.02 41.62
Fractional positions:
Na  0.041  0.041  0.263
Na  0.269  0.269  0.913
Na  0.731  0.731  0.087
Na  0.959  0.959  0.737
Sb  0.068  0.583  0.556
Sb  0.417  0.932  0.444
Sb  0.424  0.424  0.379
Sb  0.431  0.431  0.897
Sb  0.569  0.569  0.103
Sb  0.576  0.576  0.621
Sb  0.583  0.068  0.556
Sb  0.932  0.417  0.444
O  0.034  0.446  0.668
O  0.155  0.666  0.428
O  0.156  0.156  0.363
O  0.177  0.567  0.805
O  0.325  0.675  0.000
O  0.332  0.332  0.477
O  0.334  0.845  0.572
O  0.383  0.383  0.123
O  0.433  0.823  0.195
O  0.446  0.034  0.668
O  0.478  0.478  0.654
O  0.522  0.522  0.346
O  0.554  0.966  0.332
O  0.567  0.177  0.805
O  0.617  0.617  0.877
O  0.666  0.155  0.428
O  0.668  0.668  0.523
O  0.675  0.325  0.000
O  0.823  0.433  0.195
O  0.844  0.844  0.637
O  0.845  0.334  0.572
O  0.966  0.554  0.332


It comes down to w, which is 34 meV per atom more stable than the next structure.


## w
The following is a GGA-PBE calculation of Na2SbO4 after structural relaxation, from Alexandria.

abc: 6.702 6.702 6.702
angles: 145.03 145.03 50.30
Fractional positions:
Na  0.153  0.153  0.000
Na  0.847  0.847  0.000
Sb  0.500  0.500  0.000
O  0.000  0.500  0.500
O  0.341  0.341  0.000
O  0.500  0.000  0.500
O  0.659  0.659  0.000


## x
The following is a GGA-PBE calculation of Na2SbO4 after structural relaxation, from Alexandria.

abc: 5.770 5.770 6.508
angles: 120.63 120.63 30.71
Fractional positions:
Na  0.149  0.149  0.174
Na  0.851  0.851  0.826
Sb  0.500  0.500  0.500
O  0.144  0.144  0.593
O  0.469  0.469  0.173
O  0.531  0.531  0.827
O  0.856  0.856  0.407


It comes down to x, which is 16 meV per atom more stable than the next structure.


## w
The following is a GGA-PBE calculation of Na2Sb3O8 after structural relaxation, from Alexandria.

abc: 6.660 6.660 5.382
angles: 106.50 106.50 58.35
Fractional positions:
Na  0.215  0.215  0.142
Na  0.785  0.785  0.858
Sb  0.236  0.764  0.500
Sb  0.500  0.500  0.000
Sb  0.764  0.236  0.500
O  0.105  0.105  0.453
O  0.185  0.618  0.112
O  0.382  0.815  0.888
O  0.403  0.403  0.600
O  0.597  0.597  0.400
O  0.618  0.185  0.112
O  0.815  0.382  0.888
O  0.895  0.895  0.547


## x
The following is a GGA-PBE calculation of Na2Sb3O8 after structural relaxation, from Alexandria.

abc: 9.338 9.338 9.338
angles: 90.00 90.00 90.00
Fractional positions:
Na  0.010  0.010  0.010
Na  0.240  0.240  0.240
Na  0.260  0.760  0.740
Na  0.490  0.990  0.510
Na  0.510  0.490  0.990
Na  0.740  0.260  0.760
Na  0.760  0.740  0.260
Na  0.990  0.510  0.490
Sb  0.116  0.134  0.625
Sb  0.125  0.384  0.866
Sb  0.134  0.625  0.116
Sb  0.366  0.375  0.616
Sb  0.375  0.616  0.366
Sb  0.384  0.866  0.125
Sb  0.616  0.366  0.375
Sb  0.625  0.116  0.134
Sb  0.634  0.875  0.884
Sb  0.866  0.125  0.384
Sb  0.875  0.884  0.634
Sb  0.884  0.634  0.875
O  0.078  0.148  0.409
O  0.091  0.922  0.648
O  0.102  0.172  0.841
O  0.115  0.615  0.885
O  0.135  0.365  0.635
O  0.148  0.409  0.078
O  0.159  0.602  0.328
O  0.172  0.841  0.102
O  0.328  0.159  0.602
O  0.341  0.398  0.828
O  0.352  0.591  0.578
O  0.365  0.635  0.135
O  0.385  0.385  0.385
O  0.398  0.828  0.341
O  0.409  0.078  0.148
O  0.422  0.852  0.909
O  0.578  0.352  0.591
O  0.591  0.578  0.352
O  0.602  0.328  0.159
O  0.615  0.885  0.115
O  0.635  0.135  0.365
O  0.648  0.091  0.922
O  0.659  0.898  0.672
O  0.672  0.659  0.898
O  0.828  0.341  0.398
O  0.841  0.102  0.172
O  0.852  0.909  0.422
O  0.865  0.865  0.865
O  0.885  0.115  0.615
O  0.898  0.672  0.659
O  0.909  0.422  0.852
O  0.922  0.648  0.091


It comes down to x, which is 10 meV per atom more stable than the next structure.


## w
The following is a GGA-PBE calculation of NaSbTe2O after structural relaxation, from Alexandria.

abc: 5.317 5.317 5.438
angles: 90.00 90.00 90.00
Fractional positions:
Na  0.000  0.000  0.000
Sb  0.000  0.000  0.500
Te  0.000  0.500  0.000
Te  0.500  0.000  0.000
O  0.500  0.500  0.500


## x
The following is a GGA-PBE calculation of NaSbTe2O after structural relaxation, from Alexandria.

abc: 5.574 5.574 4.046
angles: 90.00 90.00 90.00
Fractional positions:
Na  0.000  0.000  0.000
Sb  0.500  0.500  0.500
Te  0.000  0.500  0.000
Te  0.500  0.000  0.000
O  0.000  0.000  0.500


## y
The following is a GGA-PBE calculation of NaSbTe2O after structural relaxation, from Alexandria.

abc: 5.023 5.023 4.722
angles: 90.00 90.00 90.00
Fractional positions:
Na  0.000  0.000  0.000
Sb  0.500  0.500  0.000
Te  0.000  0.500  0.500
Te  0.500  0.000  0.500
O  0.500  0.500  0.500


It comes down to y, which is 560 meV per atom more stable than the next structure.


## w
The following is a GGA-PBE calculation of NaSc3O after structural relaxation, from Alexandria.

abc: 5.128 5.128 5.128
angles: 90.00 90.00 90.00
Fractional positions:
Na  0.000  0.000  0.000
Sc  0.000  0.000  0.500
Sc  0.000  0.500  0.000
Sc  0.500  0.000  0.000
O  0.500  0.500  0.500


## x
The following is a GGA-PBE calculation of NaSc3O after structural relaxation, from Alexandria.

abc: 4.579 4.579 4.579
angles: 90.00 90.00 90.00
Fractional positions:
Na  0.000  0.000  0.000
Sc  0.000  0.500  0.500
Sc  0.500  0.000  0.500
Sc  0.500  0.500  0.000
O  0.500  0.500  0.500


It comes down to x, which is 2166 meV per atom more stable than the next structure.